[1]
K2Rb2Na5 | Alexandria via LeMat-Bulk | PBE-GGA | optimized geometry; space group = Ima2 (46); magnetization = 0.00 Bohr magnetons per cell; DFT formation energy = 0.38 eV/f.u.; DOS(E_F) = 0.6824 states/eV/atom
1.0
-3.478 8.409 -2.091
-6.946 -0.411 9.904
11.812 -0.078 0.884
K Rb Na
4 4 10
Cartesian
-0.786 -0.047 1.121
-5.998 3.952 5.028
2.421 2.048 3.535
-2.679 5.774 7.509
-1.880 0.693 6.302
3.084 7.216 2.657
-0.211 5.259 0.266
1.415 2.650 8.694
4.948 0.660 8.106
-7.888 7.004 6.763
7.877 2.180 2.828
-3.872 5.895 2.138
-4.305 2.242 9.228
1.224 5.413 5.841
-1.411 3.848 3.928
5.276 4.219 1.237
-1.206 7.496 4.072
5.213 0.579 0.891

[2]
K2RbNa4 | Alexandria via LeMat-Bulk | PBE-GGA | optimized geometry; space group = C2/m (12); magnetization = 0.00 Bohr magnetons per cell; DFT formation energy = 0.33 eV/f.u.; DOS(E_F) = 0.6131 states/eV/atom
1.0
9.823 0.018 0.027
0.005 9.823 0.035
-4.901 -4.910 3.968
K Rb Na
2 1 4
Cartesian
4.925 0.006 2.013
0.002 4.925 2.017
4.927 4.931 4.030
6.717 3.120 0.031
-1.790 1.811 4.000
3.111 3.115 0.023
1.816 1.816 4.007

[3]
K4RbNa7 | Alexandria via LeMat-Bulk | PBE-GGA | optimized geometry; space group = C2/m (12); magnetization = 0.00 Bohr magnetons per cell; DFT formation energy = 0.75 eV/f.u.; DOS(E_F) = 0.5827 states/eV/atom
1.0
-2.628 4.646 -4.772
-4.210 -7.465 -10.321
-7.532 2.212 0.931
K Rb Na
4 1 7
Cartesian
-6.744 2.432 -4.660
-7.626 -3.039 -9.501
-10.736 0.448 -9.764
-3.634 -1.055 -4.397
0.000 0.000 0.000
-9.867 -2.077 -12.701
-4.503 1.470 -1.460
-4.403 -4.274 -7.107
-9.967 3.666 -7.054
-8.793 -0.391 -6.280
-1.314 2.323 -2.386
-5.577 -0.216 -7.881

[4]
K4Rb2Na | Alexandria via LeMat-Bulk | PBE-GGA | optimized geometry; space group = I4/mmm (139); magnetization = 0.00 Bohr magnetons per cell; DFT formation energy = 0.67 eV/f.u.; DOS(E_F) = 0.7858 states/eV/atom
1.0
7.072 0.000 0.000
0.000 7.072 0.000
-3.536 -3.536 11.447
Na K Rb
1 4 2
Cartesian
0.000 0.000 0.000
3.536 3.536 7.572
0.000 0.000 3.875
0.000 3.536 0.000
3.536 0.000 0.000
3.536 3.536 3.076
0.000 0.000 8.371

[5]
K17Rb2Na2 | Alexandria via LeMat-Bulk | PBE-GGA | optimized geometry; space group = C2/m (12); magnetization = 0.00 Bohr magnetons per cell; DFT formation energy = 1.00 eV/f.u.; DOS(E_F) = 0.7716 states/eV/atom
1.0
12.578 0.750 2.210
2.225 11.123 0.130
0.996 -1.036 11.252
K Rb Na
17 2 2
Cartesian
2.020 1.896 2.296
13.778 8.940 11.295
1.452 3.479 7.122
12.473 11.148 4.565
4.226 8.604 0.872
3.325 -0.312 9.027
11.572 2.233 12.720
1.768 6.607 4.260
10.042 7.816 3.491
5.182 6.530 7.711
9.425 1.711 9.075
5.757 3.021 10.101
10.617 4.307 5.881
6.374 9.125 4.517
6.289 0.375 1.105
1.112 5.561 0.065
0.498 -0.518 5.626
6.026 3.481 4.471
9.772 7.355 9.121
6.787 -0.143 6.731
7.401 5.936 1.170

[6]
K2RbNa2 | Alexandria via LeMat-Bulk | PBE-GGA | optimized geometry; space group = P4/mbm (127); magnetization = 0.00 Bohr magnetons per cell; DFT formation energy = 0.12 eV/f.u.; DOS(E_F) = 0.6163 states/eV/atom
1.0
11.239 0.000 0.000
0.000 11.239 0.000
0.000 0.000 4.807
Na K Rb
4 4 2
Cartesian
4.262 9.882 0.000
9.882 6.977 0.000
6.977 1.357 0.000
1.357 4.262 0.000
1.903 7.523 2.403
7.523 9.336 2.403
9.336 3.716 2.403
3.716 1.903 2.403
0.000 0.000 0.000
5.620 5.620 0.000

[7]
K3Rb8Na | Alexandria via LeMat-Bulk | PBE-GGA | optimized geometry; space group = I-42m (121); magnetization = 0.00 Bohr magnetons per cell; DFT formation energy = 1.26 eV/f.u.; DOS(E_F) = 0.8264 states/eV/atom
1.0
-2.583 -6.579 9.248
9.953 -1.812 -5.756
2.761 11.208 1.497
K Rb Na
3 8 1
Cartesian
6.864 -1.846 0.681
3.268 4.664 4.308
6.357 4.698 -2.130
1.378 -1.183 3.489
7.952 3.407 1.769
8.660 1.553 -4.181
4.857 8.436 -0.347
3.883 1.627 0.929
-0.708 -3.951 6.391
8.879 8.999 -2.330
10.792 5.537 -4.259
0.000 0.000 0.000

[8]
K2Rb2Na3 | Alexandria via LeMat-Bulk | PBE-GGA | optimized geometry; space group = C2/m (12); magnetization = 0.00 Bohr magnetons per cell; DFT formation energy = 0.21 eV/f.u.; DOS(E_F) = 0.6862 states/eV/atom
1.0
6.722 0.000 0.000
-3.361 8.122 -1.033
0.000 -5.433 8.616
K Rb Na
2 2 3
Cartesian
3.361 1.751 5.423
0.000 0.938 2.160
3.361 4.190 1.133
0.000 -1.500 6.450
3.361 0.000 0.000
3.361 -1.536 3.069
0.000 4.225 4.514

[9]
K2Rb7Na2 | Alexandria via LeMat-Bulk | PBE-GGA | optimized geometry; space group = Imm2 (44); magnetization = 0.00 Bohr magnetons per cell; DFT formation energy = 0.39 eV/f.u.; DOS(E_F) = 0.6475 states/eV/atom
1.0
-3.882 0.554 3.481
-6.782 -12.239 -1.668
2.522 -10.950 8.503
K Rb Na
2 7 2
Cartesian
-4.098 -11.867 1.267
-3.070 -11.179 6.252
-2.848 -3.333 5.252
-4.096 -14.348 9.561
0.221 -10.723 9.850
-4.861 -7.903 3.734
-4.974 -14.966 4.732
-3.098 -18.998 7.465
-0.100 -7.740 5.068
-7.000 -17.837 6.878
-2.905 -5.043 1.511

[10]
KRb4Na5 | Alexandria via LeMat-Bulk | PBE-GGA | optimized geometry; space group = P4/mmm (123); magnetization = 0.00 Bohr magnetons per cell; DFT formation energy = 0.35 eV/f.u.; DOS(E_F) = 0.6259 states/eV/atom
1.0
-1.191 4.212 -2.138
-4.205 0.059 2.459
11.090 12.610 18.666
K Rb Na
1 4 5
Cartesian
0.000 0.000 0.000
2.168 2.465 3.650
4.425 5.032 7.449
6.665 7.578 11.218
8.922 10.145 15.017
-1.703 3.267 1.835
0.605 5.892 5.720
2.847 8.441 9.494
5.089 10.990 13.267
7.397 13.614 17.152

[11]
K3Rb4Na2 | Alexandria via LeMat-Bulk | PBE-GGA | optimized geometry; space group = C2/c (15); magnetization = 0.00 Bohr magnetons per cell; DFT formation energy = 0.27 eV/f.u.; DOS(E_F) = 0.7801 states/eV/atom
1.0
8.329 0.746 0.534
1.425 12.922 -0.212
1.425 3.963 12.301
K Rb Na
6 8 4
Cartesian
0.339 1.249 1.975
6.675 14.986 11.810
10.839 16.383 10.649
4.504 2.645 0.813
3.507 8.676 6.112
7.671 8.955 6.511
5.590 12.343 3.984
1.424 9.510 1.955
5.589 5.288 8.640
9.754 8.121 10.668
1.661 4.209 5.388
5.353 10.801 10.107
9.518 13.422 7.235
5.825 6.830 2.516
5.787 3.324 4.988
9.556 12.211 11.351
5.391 14.307 7.635
1.622 5.420 1.272

[12]
K3Rb2Na3 | Alexandria via LeMat-Bulk | PBE-GGA | optimized geometry; space group = Pmmm (47); magnetization = 0.00 Bohr magnetons per cell; DFT formation energy = 0.25 eV/f.u.; DOS(E_F) = 0.6752 states/eV/atom
1.0
-6.998 0.160 -0.730
-0.688 -3.917 5.732
-0.397 8.307 5.630
K Rb Na
3 2 3
Cartesian
-4.133 4.192 6.615
-3.950 0.357 4.016
-3.499 0.080 -0.365
-0.292 6.109 4.140
-0.105 2.197 1.489
-3.697 4.234 2.450
-0.344 -1.959 2.866
-0.543 2.195 5.681

[13]
K2Rb5Na6 | Alexandria via LeMat-Bulk | PBE-GGA | optimized geometry; space group = R-3m (166); magnetization = 0.00 Bohr magnetons per cell; DFT formation energy = 1.56 eV/f.u.; DOS(E_F) = 0.8773 states/eV/atom
1.0
-8.043 6.024 -0.070
-7.364 -1.527 -6.665
-10.840 -6.025 5.781
K Rb Na
2 5 6
Cartesian
-17.294 2.008 -4.080
-8.953 -3.536 3.126
-11.788 0.998 -2.356
-14.459 -2.525 1.401
-19.584 -1.012 -0.858
-6.663 -0.515 -0.096
0.000 0.000 0.000
-15.774 1.222 -0.500
-10.697 -0.260 1.720
-12.900 -3.252 -2.651
-10.473 -2.749 -0.454
-15.550 -1.267 -2.674
-13.347 1.725 1.697

[14]
K2RbNa2 | Alexandria via LeMat-Bulk | PBE-GGA | optimized geometry; space group = P4/mbm (127); magnetization = 0.00 Bohr magnetons per cell; DFT formation energy = 0.19 eV/f.u.; DOS(E_F) = 0.6390 states/eV/atom
1.0
11.734 0.000 0.000
0.000 11.734 0.000
0.000 0.000 4.398
Na K Rb
4 4 2
Cartesian
1.939 7.806 2.199
7.806 9.795 2.199
9.795 3.928 2.199
3.928 1.939 2.199
4.320 10.187 0.000
10.187 7.414 0.000
7.414 1.547 0.000
1.547 4.320 0.000
0.000 0.000 0.000
5.867 5.867 0.000

[15]
K2Rb3Na5 | Alexandria via LeMat-Bulk | PBE-GGA | optimized geometry; space group = Ibam (72); magnetization = 0.00 Bohr magnetons per cell; DFT formation energy = 0.43 eV/f.u.; DOS(E_F) = 0.6615 states/eV/atom
1.0
7.484 0.000 -2.940
-1.634 7.486 -4.158
2.333 4.839 16.933
K Rb Na
4 6 10
Cartesian
6.076 7.449 4.471
2.107 4.876 5.364
1.872 9.567 4.765
6.312 2.758 5.070
1.871 0.000 -0.735
5.613 0.000 -2.205
4.662 3.270 0.871
3.522 9.055 8.963
-0.145 8.148 -0.368
8.328 4.177 10.203
1.054 3.743 -2.814
4.796 3.743 -4.284
6.643 6.756 0.415
5.283 5.569 7.950
1.541 5.569 9.420
2.901 6.756 1.885
7.828 8.252 8.931
0.355 4.073 0.904
4.596 5.918 11.697
3.588 6.407 -1.862

[16]
KRb3Na2 | Alexandria via LeMat-Bulk | PBE-GGA | optimized geometry; space group = C2/m (12); magnetization = 0.00 Bohr magnetons per cell; DFT formation energy = 0.16 eV/f.u.; DOS(E_F) = 0.7200 states/eV/atom
1.0
6.847 0.000 0.000
-3.423 10.594 -1.369
0.000 -5.521 12.060
K Rb Na
2 6 4
Cartesian
3.423 2.957 10.088
0.000 2.116 0.603
0.000 2.802 7.040
3.423 6.395 6.699
3.423 -0.937 7.798
0.000 6.010 2.893
0.000 -1.322 3.992
3.423 2.271 3.651
3.423 -4.186 10.829
0.000 9.259 -0.138
3.423 4.918 0.138
0.000 0.155 10.553

[17]
K8Rb5Na | Alexandria via LeMat-Bulk | PBE-GGA | optimized geometry; space group = I-4 (82); magnetization = 0.00 Bohr magnetons per cell; DFT formation energy = 0.61 eV/f.u.; DOS(E_F) = 0.9399 states/eV/atom
1.0
-5.850 -9.146 2.994
3.425 -0.634 -10.710
8.737 0.474 7.090
K Rb Na
8 5 1
Cartesian
10.393 -0.646 -0.881
6.936 -0.167 4.404
-0.144 -7.748 2.929
5.260 -4.890 3.105
0.937 -4.069 -4.134
7.280 -6.162 -0.850
2.603 -2.016 0.171
6.571 -1.904 -3.152
-3.357 -8.670 -0.754
0.152 -8.763 -4.136
2.737 -6.530 -0.659
1.443 -4.336 5.042
-1.494 -4.268 0.201
6.803 -2.248 0.711

[18]
K2Rb7Na2 | Alexandria via LeMat-Bulk | PBE-GGA | optimized geometry; space group = C2/m (12); magnetization = 0.00 Bohr magnetons per cell; DFT formation energy = 0.23 eV/f.u.; DOS(E_F) = 0.8042 states/eV/atom
1.0
-5.419 9.427 -4.130
-0.172 -5.162 -7.048
-6.522 -3.796 4.404
K Rb Na
2 7 2
Cartesian
-4.928 -0.008 -5.422
-7.186 0.477 -1.351
-4.463 -4.868 -4.685
-5.309 4.834 -6.311
-7.650 5.337 -2.089
-6.804 -4.364 -0.463
0.000 0.000 0.000
-3.239 2.540 -2.099
-8.875 -2.070 -4.675
-8.606 2.315 -5.049
-3.507 -1.846 -1.725

[19]
KRb2Na5 | Alexandria via LeMat-Bulk | PBE-GGA | optimized geometry; space group = I4/mmm (139); magnetization = 0.00 Bohr magnetons per cell; DFT formation energy = 0.32 eV/f.u.; DOS(E_F) = 0.6143 states/eV/atom
1.0
6.395 0.000 -1.758
-0.483 6.377 -1.758
-0.493 -0.532 10.719
K Rb Na
1 2 5
Cartesian
0.000 0.000 0.000
4.158 4.485 2.613
1.262 1.361 4.590
2.956 3.189 -1.758
5.148 2.104 6.217
1.709 5.293 6.217
0.271 3.741 0.985
3.710 0.553 0.985

[20]
K15Rb4Na | Alexandria via LeMat-Bulk | PBE-GGA | optimized geometry; space group = P4/mmm (123); magnetization = 0.00 Bohr magnetons per cell; DFT formation energy = 0.13 eV/f.u.; DOS(E_F) = 0.6370 states/eV/atom
1.0
6.776 0.000 0.000
0.000 6.776 0.000
0.000 0.000 31.999
K Rb Na
15 4 1
Cartesian
3.388 3.388 0.000
3.388 3.388 6.098
3.388 3.388 12.713
3.388 3.388 19.287
3.388 3.388 25.901
3.388 0.000 2.762
3.388 0.000 9.405
3.388 0.000 16.000
3.388 0.000 22.595
3.388 0.000 29.237
0.000 3.388 2.762
0.000 3.388 9.405
0.000 3.388 16.000
0.000 3.388 22.595
0.000 3.388 29.237
0.000 0.000 6.089
0.000 0.000 12.701
0.000 0.000 19.298
0.000 0.000 25.910
0.000 0.000 0.000